# 1
A plane-wave DFT calculation with GGA-PBE was carried out for a geometry-optimized HfMn2Ru2 structure.

Lattice parameters (Å, degrees): 7.1510 7.1510 2.7627 90.00 90.00 90.00
Fractional positions:
1 Hf 0.0000 0.0000 0.0000
2 Hf 0.5000 0.5000 0.0000
3 Mn 0.1171 0.3829 0.0000
4 Mn 0.3829 0.8829 0.0000
5 Mn 0.6171 0.1171 0.0000
6 Mn 0.8829 0.6171 0.0000
7 Ru 0.1744 0.6744 0.5000
8 Ru 0.3256 0.1744 0.5000
9 Ru 0.6744 0.8256 0.5000
10 Ru 0.8256 0.3256 0.5000

E above lowest polymorph	0	meV per atom
mass density	11.5	g cm⁻³
space-group type	P4/mbm
energy	-9.388	eV per atom

# 2
A plane-wave DFT calculation with GGA-PBE was carried out for a geometry-optimized Mn3AuCl structure.

Lattice parameters (Å, degrees): 5.0635 5.0635 5.0635 90.00 90.00 90.00
Fractional positions:
1 Mn 0.0000 0.0000 0.5000
2 Mn 0.0000 0.5000 0.0000
3 Mn 0.5000 0.0000 0.0000
4 Au 0.0000 0.0000 0.0000
5 Cl 0.5000 0.5000 0.5000

E above lowest polymorph	0	meV per atom
formation energy from raw total energies	64.4	kJ/mol of atoms
mass density	5.1	g cm⁻³
space-group type	Pm-3m
energy	-5.859	eV per atom

# 3
A plane-wave DFT calculation with GGA-PBE was carried out for a geometry-optimized LiV2Mo structure.

Lattice parameters (Å, degrees): 4.2894 4.2894 4.2894 60.00 60.00 60.00
Fractional positions:
1 Li 0.0000 0.0000 0.0000
2 V 0.2500 0.2500 0.2500
3 V 0.7500 0.7500 0.7500
4 Mo 0.5000 0.5000 0.5000

E above lowest polymorph	0	meV per atom
mass density	6.1	g cm⁻³
space-group type	Fm-3m
energy	-7.466	eV per atom

# 4
A plane-wave DFT calculation with GGA-PBE was carried out for a geometry-optimized CrRe2Te structure.

Lattice parameters (Å, degrees): 5.3181 5.3181 5.3181 145.89 131.13 60.94
Fractional positions:
1 Cr 0.0000 0.0000 0.0000
2 Re 0.2611 0.7611 0.5000
3 Re 0.7389 0.2389 0.5000
4 Te 0.5000 0.5000 0.0000

formation energy from raw total energies	66.2	kJ/mol of atoms
mass density	14.6	g cm⁻³
space-group type	Immm
energy	-8.729	eV per atom

# 5
A plane-wave DFT calculation with GGA-PBE was carried out for a geometry-optimized Nb2CuBi structure.

Lattice parameters (Å, degrees): 10.6936 10.6936 10.6936 158.75 158.75 30.23
Fractional positions:
1 Nb 0.1204 0.6250 0.9954
2 Nb 0.3750 0.3704 0.4954
3 Nb 0.6296 0.1250 0.0046
4 Nb 0.8750 0.8796 0.5046
5 Cu 0.0000 0.0000 0.0000
6 Cu 0.7500 0.2500 0.5000
7 Bi 0.2500 0.7500 0.5000
8 Bi 0.5000 0.5000 0.0000

mass density	9.5	g cm⁻³
space-group type	I-42d
energy	-6.491	eV per atom

# 6
A plane-wave DFT calculation with GGA-PBE was carried out for a geometry-optimized DyEr5Th4 structure.

Lattice parameters (Å, degrees): 6.7691 8.7806 11.4551 90.00 90.00 90.00
Fractional positions:
1 Dy 0.2500 0.2500 0.2170
2 Dy 0.7500 0.7500 0.7830
3 Er 0.0009 0.0653 0.7282
4 Er 0.0009 0.4347 0.7282
5 Er 0.2500 0.7500 0.7933
6 Er 0.4991 0.0653 0.7282
7 Er 0.4991 0.4347 0.7282
8 Er 0.5009 0.5653 0.2718
9 Er 0.5009 0.9347 0.2718
10 Er 0.7500 0.2500 0.2067
11 Er 0.9991 0.5653 0.2718
12 Er 0.9991 0.9347 0.2718
13 Th 0.0007 0.7500 0.5343
14 Th 0.2500 0.0268 0.9940
15 Th 0.2500 0.4732 0.9940
16 Th 0.4993 0.7500 0.5343
17 Th 0.5007 0.2500 0.4657
18 Th 0.7500 0.5268 0.0060
19 Th 0.7500 0.9732 0.0060
20 Th 0.9993 0.2500 0.4657

E above lowest polymorph	414	meV per atom
mass density	9.4	g cm⁻³
space-group type	Pmmn
energy	-5.268	eV per atom

# 7
A plane-wave DFT calculation with GGA-PBE was carried out for a geometry-optimized Be9VPd2 structure.

Lattice parameters (Å, degrees): 7.4157 7.4157 7.4157 34.05 34.05 34.05
Fractional positions:
1 Be 0.0000 0.0000 0.0000
2 Be 0.0834 0.0834 0.5814
3 Be 0.0834 0.5814 0.0834
4 Be 0.1672 0.1672 0.1672
5 Be 0.4186 0.9166 0.9166
6 Be 0.5814 0.0834 0.0834
7 Be 0.8328 0.8328 0.8328
8 Be 0.9166 0.4186 0.9166
9 Be 0.9166 0.9166 0.4186
10 V 0.5000 0.5000 0.5000
11 Pd 0.3622 0.3622 0.3622
12 Pd 0.6378 0.6378 0.6378

mass density	5.0	g cm⁻³
space-group type	R-3m
energy	-4.698	eV per atom

# 8
A plane-wave DFT calculation with GGA-PBE was carried out for a geometry-optimized SrLa2Cu structure.

Lattice parameters (Å, degrees): 5.6317 5.6317 5.6317 60.00 60.00 60.00
Fractional positions:
1 Sr 0.0000 0.0000 0.0000
2 La 0.2500 0.2500 0.2500
3 La 0.7500 0.7500 0.7500
4 Cu 0.5000 0.5000 0.5000

E above lowest polymorph	323	meV per atom
mass density	5.6	g cm⁻³
space-group type	Fm-3m
energy	-3.583	eV per atom